Record 1
{
  "formula": "MgReTe",
  "functional": "PBE",
  "state": "optimized geometry",
  "sg": "No. 216",
  "relative_energy_mev_per_atom": 291,
  "dft_energy_ev_per_atom": -5.14,
  "formation_energy_uncorrected_mev_per_atom": 587,
  "magmom_total_mub_per_atom": 0.000,
  "lattice_angstrom": [[0.000, 3.169, 3.169], [3.169, 0.000, 3.169], [3.169, 3.169, 0.000]],
  "species": ["Mg", "Re", "Te"],
  "frac_coords": [[0.000, 0.000, 0.000], [0.250, 0.250, 0.250], [0.500, 0.500, 0.500]]
}



Record 2
{
  "formula": "La4Tb6Dy",
  "functional": "PBE",
  "state": "optimized geometry",
  "sg": "No. 121",
  "e_form_ev_per_fu": 3.17,
  "dft_energy_ev_per_atom": -4.45,
  "magmom_total_mub_per_atom": 0.000,
  "lattice_angstrom": [[-3.404, 3.404, 8.424], [3.404, -3.404, 8.424], [3.404, 3.404, -8.424]],
  "species": ["La", "La", "La", "La", "Tb", "Tb", "Tb", "Tb", "Tb", "Tb", "Dy"],
  "frac_coords": [[0.132, 0.132, 0.619], [0.487, 0.868, 0.000], [0.513, 0.513, 0.381], [0.868, 0.487, 0.000], [0.000, 0.500, 0.500], [0.057, 0.710, 0.000], [0.290, 0.290, 0.347], [0.500, 0.000, 0.500], [0.710, 0.057, 0.000], [0.943, 0.943, 0.653], [0.500, 0.500, 0.000]]
}



Record 3
{
  "formula": "SrSmTlCd",
  "functional": "PBE",
  "state": "optimized geometry",
  "sg": "No. 99",
  "e_form_ev_per_fu": -1.45,
  "relative_energy_mev_per_atom": 0,
  "dft_energy_ev_per_atom": -2.78,
  "magmom_total_mub_per_atom": 0.026,
  "lattice_angstrom": [[3.916, 0.000, 0.000], [0.000, 3.916, 0.000], [0.000, 0.000, 8.062]],
  "species": ["Sr", "Sm", "Tl", "Cd"],
  "frac_coords": [[0.000, 0.000, 0.000], [0.000, 0.000, 0.508], [0.500, 0.500, 0.274], [0.500, 0.500, 0.730]]
}



Record 4
{
  "formula": "Y2Ta2In",
  "functional": "PBE",
  "state": "optimized geometry",
  "sg": "No. 127",
  "e_form_ev_per_fu": 1.08,
  "relative_energy_mev_per_atom": 0,
  "dft_energy_ev_per_atom": -7.66,
  "magmom_total_mub_per_atom": 0.000,
  "lattice_angstrom": [[7.504, 0.000, 0.000], [0.000, 7.504, 0.000], [0.000, 0.000, 4.360]],
  "species": ["Y", "Y", "Y", "Y", "Ta", "Ta", "Ta", "Ta", "In", "In"],
  "frac_coords": [[0.173, 0.327, 0.000], [0.327, 0.827, 0.000], [0.673, 0.173, 0.000], [0.827, 0.673, 0.000], [0.124, 0.624, 0.500], [0.376, 0.124, 0.500], [0.624, 0.876, 0.500], [0.876, 0.376, 0.500], [0.000, 0.000, 0.500], [0.500, 0.500, 0.500]]
}



Record 5
{
  "formula": "CeErZrAl",
  "functional": "PBE",
  "state": "optimized geometry",
  "sg": "No. 216",
  "e_form_ev_per_fu": -0.12,
  "dft_energy_ev_per_atom": -5.73,
  "magmom_total_mub_per_atom": 0.000,
  "lattice_angstrom": [[0.000, 3.655, 3.655], [3.655, 0.000, 3.655], [3.655, 3.655, 0.000]],
  "species": ["Ce", "Er", "Zr", "Al"],
  "frac_coords": [[0.000, 0.000, 0.000], [0.500, 0.500, 0.500], [0.250, 0.250, 0.250], [0.750, 0.750, 0.750]]
}



Record 6
{
  "formula": "Cs6OF4",
  "functional": "PBE",
  "state": "optimized geometry",
  "sg": "No. 167",
  "dft_energy_ev_per_atom": -3.72,
  "formation_energy_uncorrected_mev_per_atom": -2121,
  "magmom_total_mub_per_atom": 0.013,
  "lattice_angstrom": [[6.302, 3.638, 4.911], [-6.302, 3.638, 4.911], [0.000, -7.277, 4.911]],
  "species": ["Cs", "Cs", "Cs", "Cs", "Cs", "Cs", "Cs", "Cs", "Cs", "Cs", "Cs", "Cs", "O", "O", "F", "F", "F", "F", "F", "F", "F", "F"],
  "frac_coords": [[0.052, 0.920, 0.699], [0.080, 0.301, 0.948], [0.199, 0.420, 0.552], [0.301, 0.948, 0.080], [0.420, 0.552, 0.199], [0.448, 0.801, 0.580], [0.552, 0.199, 0.420], [0.580, 0.448, 0.801], [0.699, 0.052, 0.920], [0.801, 0.580, 0.448], [0.920, 0.699, 0.052], [0.948, 0.080, 0.301], [0.000, 0.000, 0.000], [0.500, 0.500, 0.500], [0.172, 0.750, 0.328], [0.250, 0.250, 0.250], [0.250, 0.672, 0.828], [0.328, 0.172, 0.750], [0.672, 0.828, 0.250], [0.750, 0.328, 0.172], [0.750, 0.750, 0.750], [0.828, 0.250, 0.672]]
}



Record 7
{
  "formula": "LuHg2Bi",
  "functional": "PBE",
  "state": "optimized geometry",
  "sg": "No. 123",
  "e_form_ev_per_fu": -0.78,
  "dft_energy_ev_per_atom": -2.45,
  "magmom_total_mub_per_atom": 0.000,
  "lattice_angstrom": [[3.769, 0.000, 0.000], [0.000, 3.769, 0.000], [0.000, 0.000, 7.332]],
  "species": ["Lu", "Hg", "Hg", "Bi"],
  "frac_coords": [[0.000, 0.000, 0.000], [0.500, 0.500, 0.235], [0.500, 0.500, 0.765], [0.000, 0.000, 0.500]]
}



Record 8
{
  "formula": "CuIr2Cl",
  "functional": "PBE",
  "state": "optimized geometry",
  "sg": "No. 44",
  "relative_energy_mev_per_atom": 490,
  "dft_energy_ev_per_atom": -5.14,
  "formation_energy_uncorrected_mev_per_atom": 771,
  "magmom_total_mub_per_atom": 0.000,
  "lattice_angstrom": [[-1.388, 2.304, 4.702], [1.388, -2.304, 4.702], [1.388, 2.304, -4.702]],
  "species": ["Cu", "Ir", "Ir", "Cl"],
  "frac_coords": [[0.000, 0.000, 0.000], [0.253, 0.753, 0.500], [0.489, 0.489, 0.000], [0.720, 0.220, 0.500]]
}



Record 9
{
  "formula": "KGaNiMo2",
  "functional": "PBE",
  "state": "optimized geometry",
  "sg": "No. 123",
  "e_form_ev_per_fu": 7.62,
  "dft_energy_ev_per_atom": -4.79,
  "magmom_total_mub_per_atom": 1.397,
  "lattice_angstrom": [[5.028, 0.000, 0.000], [0.000, 5.028, 0.000], [0.000, 0.000, 4.589]],
  "species": ["K", "Ga", "Ni", "Mo", "Mo"],
  "frac_coords": [[0.000, 0.000, 0.000], [0.500, 0.500, 0.500], [0.500, 0.500, 0.000], [0.000, 0.500, 0.500], [0.500, 0.000, 0.500]]
}



Record 10
{
  "formula": "CsTe6",
  "functional": "PBE",
  "state": "optimized geometry",
  "sg": "No. 229",
  "dft_energy_ev_per_atom": -2.74,
  "formation_energy_uncorrected_mev_per_atom": 74,
  "magmom_total_mub_per_atom": 0.000,
  "lattice_angstrom": [[-4.415, 4.415, 4.415], [4.415, -4.415, 4.415], [4.415, 4.415, -4.415]],
  "species": ["Cs", "Te", "Te", "Te", "Te", "Te", "Te"],
  "frac_coords": [[0.000, 0.000, 0.000], [0.250, 0.500, 0.750], [0.250, 0.750, 0.500], [0.500, 0.250, 0.750], [0.500, 0.750, 0.250], [0.750, 0.250, 0.500], [0.750, 0.500, 0.250]]
}



Record 11
{
  "formula": "Fe2Tc",
  "functional": "PBE",
  "state": "optimized geometry",
  "sg": "No. 71",
  "e_form_ev_per_fu": 0.30,
  "relative_energy_mev_per_atom": 79,
  "dft_energy_ev_per_atom": -9.00,
  "magmom_total_mub_per_atom": 0.962,
  "lattice_angstrom": [[-1.304, 1.823, 3.850], [1.304, -1.823, 3.850], [1.304, 1.823, -3.850]],
  "species": ["Fe", "Fe", "Tc"],
  "frac_coords": [[0.169, 0.169, 0.000], [0.831, 0.831, 0.000], [0.500, 0.500, 0.000]]
}



Record 12
{
  "formula": "LiSbAs",
  "functional": "PBE",
  "state": "optimized geometry",
  "sg": "No. 187",
  "dft_energy_ev_per_atom": -3.67,
  "formation_energy_uncorrected_mev_per_atom": -109,
  "magmom_total_mub_per_atom": 0.000,
  "lattice_angstrom": [[5.050, 0.000, 0.000], [-2.525, 4.374, 0.000], [0.000, 0.000, 3.025]],
  "species": ["Li", "Sb", "As"],
  "frac_coords": [[0.000, 0.000, 0.000], [0.667, 0.333, 0.500], [0.333, 0.667, 0.500]]
}



Record 13
{
  "formula": "Ca7Mg2N6",
  "functional": "PBE",
  "state": "optimized geometry",
  "sg": "No. 12",
  "dft_energy_ev_per_atom": -5.20,
  "formation_energy_uncorrected_mev_per_atom": -718,
  "magmom_total_mub_per_atom": 0.000,
  "lattice_angstrom": [[3.070, -6.338, 0.000], [3.070, 6.338, 0.000], [-0.523, 0.000, 6.399]],
  "species": ["Ca", "Ca", "Ca", "Ca", "Ca", "Ca", "Ca", "Mg", "Mg", "N", "N", "N", "N", "N", "N"],
  "frac_coords": [[0.000, 0.000, 0.000], [0.123, 0.877, 0.500], [0.177, 0.522, 0.175], [0.478, 0.823, 0.825], [0.522, 0.177, 0.175], [0.823, 0.478, 0.825], [0.877, 0.123, 0.500], [0.379, 0.379, 0.673], [0.621, 0.621, 0.327], [0.115, 0.405, 0.804], [0.255, 0.255, 0.340], [0.405, 0.115, 0.804], [0.595, 0.885, 0.196], [0.745, 0.745, 0.660], [0.885, 0.595, 0.196]]
}



Record 14
{
  "formula": "Ge2I4Br",
  "functional": "PBE",
  "state": "optimized geometry",
  "sg": "No. 1",
  "dft_energy_ev_per_atom": -2.70,
  "formation_energy_uncorrected_mev_per_atom": -252,
  "magmom_total_mub_per_atom": 0.000,
  "lattice_angstrom": [[8.603, 0.000, 0.000], [-4.049, 7.832, 0.000], [-1.825, -3.663, 9.183]],
  "species": ["Ge", "Ge", "Ge", "Ge", "I", "I", "I", "I", "I", "I", "I", "I", "Br", "Br"],
  "frac_coords": [[0.000, 0.000, 0.000], [0.016, 0.416, 0.390], [0.033, 0.913, 0.419], [0.556, 0.435, 0.392], [0.263, 0.323, 0.594], [0.265, 0.827, 0.574], [0.287, 0.514, 0.176], [0.300, 0.032, 0.203], [0.772, 0.494, 0.208], [0.783, 0.338, 0.554], [0.787, 0.847, 0.572], [0.795, 0.019, 0.189], [0.270, 0.417, 0.899], [0.830, 0.668, 0.904]]
}



Record 15
{
  "formula": "UPaSeS",
  "functional": "PBE",
  "state": "optimized geometry",
  "sg": "No. 216",
  "relative_energy_mev_per_atom": 272,
  "dft_energy_ev_per_atom": -8.04,
  "formation_energy_uncorrected_mev_per_atom": -939,
  "magmom_total_mub_per_atom": 1.284,
  "lattice_angstrom": [[0.000, 3.486, 3.486], [3.486, 0.000, 3.486], [3.486, 3.486, 0.000]],
  "species": ["U", "Pa", "Se", "S"],
  "frac_coords": [[0.000, 0.000, 0.000], [0.500, 0.500, 0.500], [0.250, 0.250, 0.250], [0.750, 0.750, 0.750]]
}



Record 16
{
  "formula": "CdHg2Au2",
  "functional": "PBE",
  "state": "optimized geometry",
  "sg": "No. 127",
  "e_form_ev_per_fu": 0.51,
  "relative_energy_mev_per_atom": 83,
  "dft_energy_ev_per_atom": -1.51,
  "magmom_total_mub_per_atom": 0.000,
  "lattice_angstrom": [[8.104, 0.000, 0.000], [0.000, 8.104, 0.000], [0.000, 0.000, 3.326]],
  "species": ["Cd", "Cd", "Hg", "Hg", "Hg", "Hg", "Au", "Au", "Au", "Au"],
  "frac_coords": [[0.000, 0.000, 0.000], [0.500, 0.500, 0.000], [0.169, 0.331, 0.000], [0.331, 0.831, 0.000], [0.669, 0.169, 0.000], [0.831, 0.669, 0.000], [0.129, 0.629, 0.500], [0.371, 0.129, 0.500], [0.629, 0.871, 0.500], [0.871, 0.371, 0.500]]
}



Record 17
{
  "formula": "CoTeOs2",
  "functional": "PBE",
  "state": "optimized geometry",
  "sg": "No. 65",
  "dft_energy_ev_per_atom": -7.12,
  "formation_energy_uncorrected_mev_per_atom": 1060,
  "magmom_total_mub_per_atom": 0.666,
  "lattice_angstrom": [[1.442, -2.429, 0.000], [1.442, 2.429, 0.000], [0.000, 0.000, 9.306]],
  "species": ["Co", "Te", "Os", "Os"],
  "frac_coords": [[0.000, 0.000, 0.000], [0.000, 0.000, 0.500], [0.500, 0.500, 0.220], [0.500, 0.500, 0.780]]
}



Record 18
{
  "formula": "SmEr2Pa3P6",
  "functional": "PBE",
  "state": "optimized geometry",
  "sg": "No. 12",
  "e_form_ev_per_fu": -17.35,
  "dft_energy_ev_per_atom": -7.68,
  "magmom_total_mub_per_atom": 0.000,
  "lattice_angstrom": [[3.452, -5.980, 0.000], [3.452, 5.980, 0.000], [-2.303, 0.000, 6.500]],
  "species": ["Sm", "Er", "Er", "Pa", "Pa", "Pa", "P", "P", "P", "P", "P", "P"],
  "frac_coords": [[0.000, 0.000, 0.000], [0.333, 0.667, 0.000], [0.667, 0.333, 0.000], [0.165, 0.835, 0.500], [0.500, 0.500, 0.500], [0.835, 0.165, 0.500], [0.085, 0.423, 0.255], [0.254, 0.254, 0.747], [0.423, 0.085, 0.255], [0.577, 0.915, 0.745], [0.746, 0.746, 0.253], [0.915, 0.577, 0.745]]
}



Record 19
{
  "formula": "SrMgSe2",
  "functional": "PBE",
  "state": "optimized geometry",
  "sg": "No. 44",
  "dft_energy_ev_per_atom": -3.95,
  "formation_energy_uncorrected_mev_per_atom": -1391,
  "magmom_total_mub_per_atom": 0.000,
  "lattice_angstrom": [[-1.899, 1.956, 7.082], [1.899, -1.956, 7.082], [1.899, 1.956, -7.082]],
  "species": ["Sr", "Mg", "Se", "Se"],
  "frac_coords": [[0.000, 0.000, 0.000], [0.254, 0.754, 0.500], [0.398, 0.398, 0.000], [0.674, 0.174, 0.500]]
}



Record 20
{
  "formula": "VZnCdPt2",
  "functional": "PBE",
  "state": "optimized geometry",
  "sg": "No. 123",
  "e_form_ev_per_fu": 4.00,
  "dft_energy_ev_per_atom": -3.88,
  "magmom_total_mub_per_atom": 0.000,
  "lattice_angstrom": [[4.659, 0.000, 0.000], [0.000, 4.659, 0.000], [0.000, 0.000, 4.486]],
  "species": ["V", "Zn", "Cd", "Pt", "Pt"],
  "frac_coords": [[0.000, 0.000, 0.000], [0.000, 0.000, 0.500], [0.500, 0.500, 0.000], [0.000, 0.500, 0.500], [0.500, 0.000, 0.500]]
}